This record from Alexandria describes a geometry-optimized Nb2Ni4Ge structure. The functional is PBE-GGA.

Properties
E_tot ... -6.193 eV/atom
V ... 226.0 Å³ per cell
Magnetization ... 0.0 μB/cell
DFT formation energy ... 647 meV per atom
Density of states at the Fermi level ... 1.0879 states/eV per atom

Geometry as POSCAR:
```
Nb2Ni4Ge
1.0
4.142 0.000 0.000
0.000 4.142 0.000
0.000 0.000 13.172
Nb Ni Ge
4 8 2
Cartesian
0.000 0.000 2.024
0.000 0.000 11.147
2.071 2.071 4.561
2.071 2.071 8.610
0.000 0.000 4.327
0.000 0.000 8.844
0.000 2.071 0.000
0.000 2.071 6.586
2.071 0.000 0.000
2.071 0.000 6.586
2.071 2.071 2.258
2.071 2.071 10.913
0.000 0.000 6.586
2.071 2.071 0.000
```